LaNd4Er2Sc after structural relaxation. Source: Alexandria, functional PBE.

The structure in CIF format:
```
data_LaNd4Er2Sc
_symmetry_space_group_name_H-M 'P 1'
_symmetry_Int_Tables_number 1
_cell_length_a 5.094
_cell_length_b 11.333
_cell_length_c 5.076
_cell_angle_alpha 63.43
_cell_angle_beta 90.00
_cell_angle_gamma 90.00
loop_
_symmetry_equiv_pos_as_xyz
'x,y,z'
loop_
_atom_site_label
_atom_site_type_symbol
_atom_site_fract_x
_atom_site_fract_y
_atom_site_fract_z
La1 La 0.500 0.500 0.000
Nd1 Nd 0.000 0.750 0.750
Nd2 Nd 0.000 0.250 0.250
Nd3 Nd 0.500 0.751 0.249
Nd4 Nd 0.500 0.249 0.751
Er1 Er 0.000 0.000 0.000
Er2 Er 0.500 0.000 0.500
Sc1 Sc 0.000 0.500 0.500
```

Properties
SG = No. 47
E = -39.20 eV per formula unit
Spin magnetization = 0.000 μB/f.u.
Formation energy = 0.03 eV per atom

---

Y2CrFe after structural relaxation. Source: Alexandria, functional PBE.

The structure in CIF format:
```
data_Y2CrFe
_symmetry_space_group_name_H-M 'P 1'
_symmetry_Int_Tables_number 1
_cell_length_a 7.602
_cell_length_b 7.602
_cell_length_c 6.197
_cell_angle_alpha 52.16
_cell_angle_beta 52.16
_cell_angle_gamma 90.00
loop_
_symmetry_equiv_pos_as_xyz
'x,y,z'
loop_
_atom_site_label
_atom_site_type_symbol
_atom_site_fract_x
_atom_site_fract_y
_atom_site_fract_z
Y1 Y 0.649 0.125 0.250
Y2 Y 0.101 0.625 0.250
Y3 Y 0.375 0.351 0.750
Y4 Y 0.875 0.899 0.750
Cr1 Cr 0.500 0.500 0.000
Cr2 Cr 0.250 0.750 0.500
Fe1 Fe 0.000 0.000 0.000
Fe2 Fe 0.750 0.250 0.500
```

Properties
SG = No. 122
E = -28.35 eV per formula unit
Spin magnetization = 4.812 μB/f.u.
Formation energy = 0.67 eV per atom
Distance to the lowest polymorph of the same formula = 0.594 eV per atom

---

Ac6GaSn2 after structural relaxation. Source: Alexandria, functional PBE.

The structure in CIF format:
```
data_Ac6GaSn2
_symmetry_space_group_name_H-M 'P 1'
_symmetry_Int_Tables_number 1
_cell_length_a 5.570
_cell_length_b 7.901
_cell_length_c 9.604
_cell_angle_alpha 114.29
_cell_angle_beta 106.85
_cell_angle_gamma 90.00
loop_
_symmetry_equiv_pos_as_xyz
'x,y,z'
loop_
_atom_site_label
_atom_site_type_symbol
_atom_site_fract_x
_atom_site_fract_y
_atom_site_fract_z
Ac1 Ac 0.163 0.408 0.326
Ac2 Ac 0.837 0.082 0.674
Ac3 Ac 0.837 0.592 0.674
Ac4 Ac 0.500 0.236 0.000
Ac5 Ac 0.163 0.918 0.326
Ac6 Ac 0.500 0.764 0.000
Ga1 Ga 0.000 0.000 0.000
Sn1 Sn 0.665 0.665 0.330
Sn2 Sn 0.335 0.335 0.670
```

Properties
SG = No. 71
E = -38.60 eV per formula unit
Spin magnetization = 0.004 μB/f.u.
Formation energy = -0.32 eV per atom

---

DySc2RuO8 after structural relaxation. Source: Alexandria, functional PBE.

The structure in CIF format:
```
data_DySc2RuO8
_symmetry_space_group_name_H-M 'P 1'
_symmetry_Int_Tables_number 1
_cell_length_a 4.870
_cell_length_b 4.862
_cell_length_c 6.492
_cell_angle_alpha 90.00
_cell_angle_beta 90.00
_cell_angle_gamma 89.89
loop_
_symmetry_equiv_pos_as_xyz
'x,y,z'
loop_
_atom_site_label
_atom_site_type_symbol
_atom_site_fract_x
_atom_site_fract_y
_atom_site_fract_z
Dy1 Dy 0.000 0.000 0.500
Sc1 Sc 0.500 0.500 0.743
Sc2 Sc 0.500 0.500 0.257
Ru1 Ru 0.000 0.000 0.000
O1 O 0.193 0.805 0.212
O2 O 0.721 0.723 0.000
O3 O 0.807 0.195 0.213
O4 O 0.807 0.195 0.788
O5 O 0.279 0.277 0.000
O6 O 0.193 0.805 0.787
O7 O 0.682 0.685 0.500
O8 O 0.318 0.315 0.500
```

Properties
SG = No. 10
E = -94.78 eV per formula unit
Spin magnetization = 1.023 μB/f.u.
Formation energy (no corrections) = -230 kJ/mol of atoms

---

DyTlI4 after structural relaxation. Source: Alexandria, functional PBE.

The structure in CIF format:
```
data_DyTlI4
_symmetry_space_group_name_H-M 'P 1'
_symmetry_Int_Tables_number 1
_cell_length_a 7.933
_cell_length_b 7.933
_cell_length_c 8.733
_cell_angle_alpha 79.88
_cell_angle_beta 79.88
_cell_angle_gamma 33.06
loop_
_symmetry_equiv_pos_as_xyz
'x,y,z'
loop_
_atom_site_label
_atom_site_type_symbol
_atom_site_fract_x
_atom_site_fract_y
_atom_site_fract_z
Dy1 Dy 0.000 0.000 0.500
Tl1 Tl 0.500 0.500 0.000
I1 I 0.120 0.120 0.187
I2 I 0.880 0.880 0.813
I3 I 0.616 0.616 0.604
I4 I 0.384 0.384 0.396
```

Properties
SG = No. 12
E = -20.01 eV per formula unit
Spin magnetization = 0.000 μB/f.u.
Formation energy (no corrections) = -110 kJ/mol of atoms

---

LiCu6Rh2 after structural relaxation. Source: Alexandria, functional PBE.

The structure in CIF format:
```
data_LiCu6Rh2
_symmetry_space_group_name_H-M 'P 1'
_symmetry_Int_Tables_number 1
_cell_length_a 2.530
_cell_length_b 7.278
_cell_length_c 7.677
_cell_angle_alpha 118.30
_cell_angle_beta 108.81
_cell_angle_gamma 90.00
loop_
_symmetry_equiv_pos_as_xyz
'x,y,z'
loop_
_atom_site_label
_atom_site_type_symbol
_atom_site_fract_x
_atom_site_fract_y
_atom_site_fract_z
Li1 Li 0.000 0.000 0.000
Cu1 Cu 0.846 0.334 0.334
Cu2 Cu 0.154 0.000 0.666
Cu3 Cu 0.154 0.666 0.666
Cu4 Cu 0.500 0.333 0.000
Cu5 Cu 0.846 0.000 0.334
Cu6 Cu 0.500 0.667 0.000
Rh1 Rh 0.333 0.667 0.333
Rh2 Rh 0.667 0.333 0.667
```

Properties
SG = No. 12
E = -40.72 eV per formula unit
Spin magnetization = 1.025 μB/f.u.
Formation energy = 0.05 eV per atom
Distance to the lowest polymorph of the same formula = 0.070 eV per atom

---

K2SbTe after structural relaxation. Source: Alexandria, functional PBE.

The structure in CIF format:
```
data_K2SbTe
_symmetry_space_group_name_H-M 'P 1'
_symmetry_Int_Tables_number 1
_cell_length_a 3.415
_cell_length_b 3.415
_cell_length_c 13.564
_cell_angle_alpha 90.00
_cell_angle_beta 90.00
_cell_angle_gamma 90.02
loop_
_symmetry_equiv_pos_as_xyz
'x,y,z'
loop_
_atom_site_label
_atom_site_type_symbol
_atom_site_fract_x
_atom_site_fract_y
_atom_site_fract_z
K1 K 0.000 0.000 0.957
K2 K 0.500 0.500 0.286
Sb1 Sb 0.000 0.000 0.484
Te1 Te 0.500 0.500 0.773
```

Properties
SG = No. 99
E = -9.44 eV per formula unit
Spin magnetization = 0.000 μB/f.u.
Formation energy (no corrections) = 0 kJ/mol of atoms
Distance to the lowest polymorph of the same formula = 0.546 eV per atom

---

Hf3Zr2Pt2 after structural relaxation. Source: Alexandria, functional PBE.

The structure in CIF format:
```
data_Hf3Zr2Pt2
_symmetry_space_group_name_H-M 'P 1'
_symmetry_Int_Tables_number 1
_cell_length_a 3.393
_cell_length_b 5.977
_cell_length_c 8.357
_cell_angle_alpha 113.65
_cell_angle_beta 90.00
_cell_angle_gamma 106.49
loop_
_symmetry_equiv_pos_as_xyz
'x,y,z'
loop_
_atom_site_label
_atom_site_type_symbol
_atom_site_fract_x
_atom_site_fract_y
_atom_site_fract_z
Hf1 Hf 0.500 0.000 0.000
Hf2 Hf 0.612 0.224 0.450
Hf3 Hf 0.388 0.776 0.550
Zr1 Zr 0.849 0.697 0.180
Zr2 Zr 0.151 0.303 0.820
Pt1 Pt 0.835 0.669 0.766
Pt2 Pt 0.165 0.331 0.234
```

Properties
SG = No. 12
E = -63.49 eV per formula unit
Spin magnetization = 0.000 μB/f.u.
Formation energy = -0.64 eV per atom

---

Li2InCl after structural relaxation. Source: Alexandria, functional PBE.

The structure in CIF format:
```
data_Li2InCl
_symmetry_space_group_name_H-M 'P 1'
_symmetry_Int_Tables_number 1
_cell_length_a 3.196
_cell_length_b 3.196
_cell_length_c 7.665
_cell_angle_alpha 90.00
_cell_angle_beta 90.00
_cell_angle_gamma 90.00
loop_
_symmetry_equiv_pos_as_xyz
'x,y,z'
loop_
_atom_site_label
_atom_site_type_symbol
_atom_site_fract_x
_atom_site_fract_y
_atom_site_fract_z
Cl1 Cl 0.500 0.500 0.250
In1 In 0.500 0.500 0.750
Li1 Li 0.000 0.000 0.051
Li2 Li 0.000 0.000 0.449
```

Properties
SG = No. 123
E = -11.71 eV per formula unit
Spin magnetization = 0.000 μB/f.u.
Formation energy (no corrections) = -79 kJ/mol of atoms
Distance to the lowest polymorph of the same formula = 0.081 eV per atom

---

TbGa4Cu after structural relaxation. Source: Alexandria, functional PBE.

The structure in CIF format:
```
data_TbGa4Cu
_symmetry_space_group_name_H-M 'P 1'
_symmetry_Int_Tables_number 1
_cell_length_a 5.673
_cell_length_b 6.590
_cell_length_c 8.516
_cell_angle_alpha 104.25
_cell_angle_beta 132.69
_cell_angle_gamma 82.53
loop_
_symmetry_equiv_pos_as_xyz
'x,y,z'
loop_
_atom_site_label
_atom_site_type_symbol
_atom_site_fract_x
_atom_site_fract_y
_atom_site_fract_z
Tb1 Tb 0.746 0.774 0.920
Tb2 Tb 0.254 0.226 0.080
Ga1 Ga 0.391 0.189 0.740
Ga2 Ga 0.782 0.433 0.119
Ga3 Ga 0.609 0.811 0.260
Ga4 Ga 0.218 0.567 0.881
Ga5 Ga 0.047 0.881 0.695
Ga6 Ga 0.315 0.646 0.409
Ga7 Ga 0.953 0.119 0.305
Ga8 Ga 0.685 0.354 0.591
Cu1 Cu 0.500 0.000 0.500
Cu2 Cu 0.000 0.500 0.500
```

Properties
SG = No. 2
E = -22.47 eV per formula unit
Spin magnetization = 0.000 μB/f.u.
Formation energy = -0.27 eV per atom

---

Pm4Zn2Au after structural relaxation. Source: Alexandria, functional PBE.

The structure in CIF format:
```
data_Pm4Zn2Au
_symmetry_space_group_name_H-M 'P 1'
_symmetry_Int_Tables_number 1
_cell_length_a 5.148
_cell_length_b 5.148
_cell_length_c 8.872
_cell_angle_alpha 73.14
_cell_angle_beta 73.14
_cell_angle_gamma 60.00
loop_
_symmetry_equiv_pos_as_xyz
'x,y,z'
loop_
_atom_site_label
_atom_site_type_symbol
_atom_site_fract_x
_atom_site_fract_y
_atom_site_fract_z
Pm1 Pm 0.873 0.873 0.381
Pm2 Pm 0.127 0.127 0.619
Pm3 Pm 0.622 0.622 0.133
Pm4 Pm 0.378 0.378 0.867
Zn1 Zn 0.752 0.752 0.744
Zn2 Zn 0.248 0.248 0.256
Au1 Au 0.000 0.000 0.000
```

Properties
SG = No. 166
E = -26.91 eV per formula unit
Spin magnetization = 0.001 μB/f.u.
Formation energy = -0.30 eV per atom

---

Tm2GeS after structural relaxation. Source: Alexandria, functional PBE.

The structure in CIF format:
```
data_Tm2GeS
_symmetry_space_group_name_H-M 'P 1'
_symmetry_Int_Tables_number 1
_cell_length_a 3.985
_cell_length_b 3.985
_cell_length_c 6.932
_cell_angle_alpha 73.29
_cell_angle_beta 73.29
_cell_angle_gamma 60.00
loop_
_symmetry_equiv_pos_as_xyz
'x,y,z'
loop_
_atom_site_label
_atom_site_type_symbol
_atom_site_fract_x
_atom_site_fract_y
_atom_site_fract_z
Ge1 Ge 0.000 0.000 0.000
Tm1 Tm 0.749 0.749 0.752
Tm2 Tm 0.251 0.251 0.248
S1 S 0.500 0.500 0.500
```

Properties
SG = No. 166
E = -23.35 eV per formula unit
Spin magnetization = 0.000 μB/f.u.
Formation energy (no corrections) = -137 kJ/mol of atoms
Distance to the lowest polymorph of the same formula = 0.044 eV per atom

---

The records above give, respectively, DOS(E_F) values of 11.395, 10.047, 13.194, 3.283, 0.000, 5.582, 2.965, 7.129, 1.604, 4.223, 8.468, 1.321 states/eV per cell.